First-principles (PBE) data for crystalline LaSiHI2 at its relaxed geometry, as listed in the Alexandria database.

Properties
The electronic total energy comes out at -17.36 eV for the cell shown. Its spin magnetization is 0.00 μB per cell.

The structure in CIF format:
```
data_LaSiHI2
_cell_length_a 5.882
_cell_length_b 5.882
_cell_length_c 3.749
_cell_angle_alpha 90.00
_cell_angle_beta 90.00
_cell_angle_gamma 90.00
_space_group_name_H-M_alt 'P 4/m m m'
_space_group_IT_number 123
_space_group_name_Hall '-P 4 2'
loop_
_atom_site_label
_atom_site_type_symbol
_atom_site_fract_x
_atom_site_fract_y
_atom_site_fract_z
_atom_site_occupancy
La1 La 0.000 0.000 0.000 1
Si1 Si 0.500 0.500 0.500 1
H1 H 0.500 0.500 0.000 1
I1 I 0.000 0.500 0.500 1
```

=====

First-principles (PBE) data for crystalline Cs8K6Pd at its relaxed geometry, as listed in the Alexandria database.

Properties
The value obtained for the formation enthalpy at 0 K is 15 meV/atom. Its spin magnetization is 0.00 μB per cell.

The structure in CIF format:
```
data_Cs8K6Pd
_cell_length_a 13.4289
_cell_length_b 13.4289
_cell_length_c 24.7467
_cell_angle_alpha 90.00
_cell_angle_beta 90.00
_cell_angle_gamma 120.00
_space_group_name_H-M_alt 'R -3'
_space_group_IT_number 148
_space_group_name_Hall '-R 3'
loop_
_atom_site_label
_atom_site_type_symbol
_atom_site_fract_x
_atom_site_fract_y
_atom_site_fract_z
_atom_site_occupancy
Cs1 Cs 0.0000 0.0000 0.2397 1
Cs2 Cs 0.0409 0.2306 0.4221 1
K1 K 0.0606 0.2318 0.9227 1
Pd1 Pd 0.0000 0.0000 0.5000 1
```

=====

First-principles (PBE) data for crystalline BaReW2 at its relaxed geometry, as listed in the Alexandria database.

Properties
As for the energy above the most stable polymorph in this dataset: 270.9 meV per atom. The value obtained for the formation enthalpy at 0 K is 1114 meV/atom. Its spin magnetization is 0.00 μB per cell.

The structure in CIF format:
```
data_BaReW2
_cell_length_a 3.0989
_cell_length_b 3.0989
_cell_length_c 30.1868
_cell_angle_alpha 90.00
_cell_angle_beta 90.00
_cell_angle_gamma 120.00
_space_group_name_H-M_alt 'R -3 m'
_space_group_IT_number 166
_space_group_name_Hall '-R 3 2"'
loop_
_atom_site_label
_atom_site_type_symbol
_atom_site_fract_x
_atom_site_fract_y
_atom_site_fract_z
_atom_site_occupancy
Ba1 Ba 0.0000 0.0000 0.0000 1
Re1 Re 0.0000 0.0000 0.5000 1
W1 W 0.0000 0.0000 0.2305 1
```

=====

First-principles (PBE) data for crystalline ZrNiAs2 at its relaxed geometry, as listed in the Alexandria database.

Properties
The value obtained for the formation enthalpy at 0 K is -102 meV/atom. Its spin magnetization is 0.00 μB per cell.

The structure in CIF format:
```
data_ZrNiAs2
_cell_length_a 6.499
_cell_length_b 6.499
_cell_length_c 6.499
_cell_angle_alpha 90.00
_cell_angle_beta 90.00
_cell_angle_gamma 90.00
_space_group_name_H-M_alt 'F -4 3 m'
_space_group_IT_number 216
_space_group_name_Hall 'F -4 2 3'
loop_
_atom_site_label
_atom_site_type_symbol
_atom_site_fract_x
_atom_site_fract_y
_atom_site_fract_z
_atom_site_occupancy
Zr1 Zr 0.000 0.000 0.000 1
Ni1 Ni 0.250 0.250 0.250 1
As1 As 0.000 0.000 0.500 1
As2 As 0.250 0.250 0.750 1
```

=====

First-principles (PBE) data for crystalline Na9Br3O2 at its relaxed geometry, as listed in the Alexandria database.

Properties
The energy relative to the elements, uncorrected is -1145.4 meV/atom. Its spin magnetization is 0.00 μB per cell.

The structure in CIF format:
```
data_Na9Br3O2
_cell_length_a 6.6926
_cell_length_b 6.6926
_cell_length_c 8.2250
_cell_angle_alpha 90.00
_cell_angle_beta 90.00
_cell_angle_gamma 120.00
_space_group_name_H-M_alt 'P -3 m 1'
_space_group_IT_number 164
_space_group_name_Hall '-P 3 2"'
loop_
_atom_site_label
_atom_site_type_symbol
_atom_site_fract_x
_atom_site_fract_y
_atom_site_fract_z
_atom_site_occupancy
Na1 Na 0.0000 0.5000 0.0000 1
Na2 Na 0.1729 0.3459 0.6788 1
Br1 Br 0.0000 0.0000 0.0000 1
Br2 Br 0.3333 0.6667 0.3224 1
O1 O 0.3333 0.6667 0.8399 1
```

=====

First-principles (PBE) data for crystalline DyErSb2O8 at its relaxed geometry, as listed in the Alexandria database.

Properties
The energy relative to the elements, uncorrected is -2356.2 meV/atom. Its spin magnetization is 0.00 μB per cell.

The structure in CIF format:
```
data_DyErSb2O8
_cell_length_a 5.241
_cell_length_b 5.241
_cell_length_c 11.161
_cell_angle_alpha 90.00
_cell_angle_beta 90.00
_cell_angle_gamma 90.00
_space_group_name_H-M_alt 'I -4'
_space_group_IT_number 82
loop_
_space_group_symop_operation_xyz
'x,y,z'
'y,-x,-z'
'-x,-y,z'
'-y,x,-z'
'x+1/2,y+1/2,z+1/2'
'y+1/2,-x+1/2,-z+1/2'
'-x+1/2,-y+1/2,z+1/2'
'-y+1/2,x+1/2,-z+1/2'
loop_
_atom_site_label
_atom_site_type_symbol
_atom_site_fract_x
_atom_site_fract_y
_atom_site_fract_z
_atom_site_occupancy
Dy1 Dy 0.000 0.000 0.000 1
Er1 Er 0.000 0.500 0.750 1
Sb1 Sb 0.000 0.000 0.500 1
Sb2 Sb 0.000 0.500 0.250 1
O1 O 0.183 0.255 0.590 1
O2 O 0.185 0.755 0.161 1
```

=====

First-principles (PBE) data for crystalline SrIr4Os at its relaxed geometry, as listed in the Alexandria database.

Properties
The value obtained for the formation enthalpy at 0 K is 515 meV/atom. Its spin magnetization is 7.13 μB per cell.

The structure in CIF format:
```
data_SrIr4Os
_cell_length_a 7.474
_cell_length_b 7.474
_cell_length_c 7.474
_cell_angle_alpha 90.00
_cell_angle_beta 90.00
_cell_angle_gamma 90.00
_space_group_name_H-M_alt 'F -4 3 m'
_space_group_IT_number 216
_space_group_name_Hall 'F -4 2 3'
loop_
_atom_site_label
_atom_site_type_symbol
_atom_site_fract_x
_atom_site_fract_y
_atom_site_fract_z
_atom_site_occupancy
Sr1 Sr 0.000 0.000 0.000 1
Ir1 Ir 0.125 0.125 0.625 1
Os1 Os 0.250 0.250 0.250 1
```

=====

First-principles (PBE) data for crystalline Mg2PtBr at its relaxed geometry, as listed in the Alexandria database.

Properties
The energy relative to the elements, uncorrected is -673.7 meV/atom. As for the energy above the most stable polymorph in this dataset: 133.2 meV per atom. Its spin magnetization is 0.00 μB per cell.

The structure in CIF format:
```
data_Mg2PtBr
_cell_length_a 3.392
_cell_length_b 3.590
_cell_length_c 15.608
_cell_angle_alpha 90.00
_cell_angle_beta 90.00
_cell_angle_gamma 90.00
_space_group_name_H-M_alt 'I m m 2'
_space_group_IT_number 44
loop_
_space_group_symop_operation_xyz
'x,y,z'
'-x,-y,z'
'-x,y,z'
'x,-y,z'
'x+1/2,y+1/2,z+1/2'
'-x+1/2,-y+1/2,z+1/2'
'-x+1/2,y+1/2,z+1/2'
'x+1/2,-y+1/2,z+1/2'
loop_
_atom_site_label
_atom_site_type_symbol
_atom_site_fract_x
_atom_site_fract_y
_atom_site_fract_z
_atom_site_occupancy
Mg1 Mg 0.000 0.000 0.000 1
Mg2 Mg 0.000 0.500 0.191 1
Pt1 Pt 0.000 0.000 0.559 1
Br1 Br 0.000 0.500 0.787 1
```